## Mn2AlRh (PBE)

Data for crystalline Mn2AlRh at its relaxed geometry.

Geometry as extended XYZ:
```
4
Lattice="-3.3171 -3.0527 0.0880 3.5731 -1.7574 2.1153 -0.9195 1.0695 2.4416" Properties=species:S:1:pos:R:3 pbc="T T T"
Mn 0.0000 0.0000 0.0000
Mn 0.1280 -2.4051 1.1017
Rh -2.1183 -0.9916 1.2648
Al 1.3268 -0.3440 2.2785
```

Magnetic moment ... 6.11 μB/cell
E_tot ... -0.2785 hartree per atom
N(E_F) ... 3.15 states/eV/f.u.
Energy relative to the elements ... -21.15 kJ/mol of atoms